{"formula": "AlB2P", "functional": "PBE-GGA", "state": "relaxed", "e_above_lowest_polymorph_mev_per_atom": 0, "spacegroup": "No. 38", "magnetic_moment_mub_per_fu": 0.0, "delta_e_f_kj_per_mol_atoms": 1.8, "dos_ef_per_ev_atom": 0.3186, "final_energy_ev_per_atom": -5.61, "lattice_angstrom": [[3.022, 0.000, 0.000], [0.000, 8.029, 0.000], [0.000, 0.000, 8.821]], "species": ["Al", "Al", "Al", "Al", "B", "B", "B", "B", "B", "B", "B", "B", "P", "P", "P", "P"], "frac_coords": [[0.000, 0.211, 0.000], [0.000, 0.289, 0.500], [0.000, 0.711, 0.500], [0.000, 0.789, 0.000], [0.000, 0.000, 0.409], [0.000, 0.500, 0.909], [0.500, 0.000, 0.678], [0.500, 0.100, 0.499], [0.500, 0.400, 0.999], [0.500, 0.500, 0.178], [0.500, 0.600, 0.999], [0.500, 0.900, 0.499], [0.000, 0.000, 0.188], [0.000, 0.000, 0.804], [0.000, 0.500, 0.304], [0.000, 0.500, 0.688]]}

{"formula": "BeTc2Os", "functional": "PBE-GGA", "state": "relaxed", "spacegroup": "No. 99", "magnetic_moment_mub_per_fu": 0.0, "delta_e_f_kj_per_mol_atoms": -5.8, "dos_ef_per_ev_atom": 0.8618, "final_energy_ev_per_atom": -8.98, "lattice_angstrom": [[2.800, 0.000, 0.000], [0.000, 2.800, 0.000], [0.000, 0.000, 6.553]], "species": ["Be", "Tc", "Tc", "Os"], "frac_coords": [[0.000, 0.000, 0.000], [0.000, 0.000, 0.486], [0.500, 0.500, 0.772], [0.500, 0.500, 0.208]]}

{"formula": "CaPr2Y2", "functional": "PBE-GGA", "state": "relaxed", "e_above_lowest_polymorph_mev_per_atom": 20, "spacegroup": "No. 65", "magnetic_moment_mub_per_fu": 0.0, "delta_e_f_kj_per_mol_atoms": 3.4, "dos_ef_per_ev_atom": 1.2770, "final_energy_ev_per_atom": -4.86, "lattice_angstrom": [[5.648, 0.000, 0.000], [0.000, 17.805, 0.000], [0.000, 0.000, 3.594]], "species": ["Ca", "Ca", "Pr", "Pr", "Pr", "Pr", "Y", "Y", "Y", "Y"], "frac_coords": [[0.000, 0.000, 0.000], [0.500, 0.500, 0.000], [0.000, 0.379, 0.500], [0.000, 0.621, 0.500], [0.500, 0.121, 0.500], [0.500, 0.879, 0.500], [0.000, 0.201, 0.000], [0.000, 0.799, 0.000], [0.500, 0.299, 0.000], [0.500, 0.701, 0.000]]}

{"formula": "ScCo2GeH", "functional": "PBE-GGA", "state": "relaxed", "e_above_lowest_polymorph_mev_per_atom": 160, "spacegroup": "No. 123", "magnetic_moment_mub_per_fu": 0.0, "dos_ef_per_ev_atom": 0.4999, "final_energy_ev_per_atom": -5.99, "lattice_angstrom": [[3.840, 0.000, 0.000], [0.000, 3.840, 0.000], [0.000, 0.000, 3.822]], "species": ["Sc", "Co", "Co", "Ge", "H"], "frac_coords": [[0.000, 0.000, 0.000], [0.000, 0.500, 0.500], [0.500, 0.000, 0.500], [0.500, 0.500, 0.000], [0.000, 0.000, 0.500]]}

{"formula": "DyScMn17", "functional": "PBE-GGA", "state": "relaxed", "spacegroup": "No. 160", "magnetic_moment_mub_per_fu": 0.1, "delta_e_f_kj_per_mol_atoms": 2.5, "dos_ef_per_ev_atom": 1.4380, "final_energy_ev_per_atom": -8.75, "lattice_angstrom": [[4.087, 2.360, 4.095], [-4.087, 2.360, 4.095], [0.000, -4.720, 4.095]], "species": ["Dy", "Sc", "Mn", "Mn", "Mn", "Mn", "Mn", "Mn", "Mn", "Mn", "Mn", "Mn", "Mn", "Mn", "Mn", "Mn", "Mn", "Mn", "Mn"], "frac_coords": [[0.000, 0.000, 0.000], [0.688, 0.688, 0.688], [0.003, 0.003, 0.499], [0.003, 0.499, 0.003], [0.049, 0.348, 0.636], [0.049, 0.636, 0.348], [0.191, 0.685, 0.685], [0.253, 0.253, 0.253], [0.346, 0.346, 0.841], [0.346, 0.841, 0.346], [0.348, 0.049, 0.636], [0.348, 0.636, 0.049], [0.436, 0.436, 0.436], [0.499, 0.003, 0.003], [0.636, 0.049, 0.348], [0.636, 0.348, 0.049], [0.685, 0.191, 0.685], [0.685, 0.685, 0.191], [0.841, 0.346, 0.346]]}

{"formula": "SrIrAu2", "functional": "PBE-GGA", "state": "relaxed", "e_above_lowest_polymorph_mev_per_atom": 228, "spacegroup": "No. 44", "magnetic_moment_mub_per_fu": 0.0, "delta_e_f_kj_per_mol_atoms": 2.6, "dos_ef_per_ev_atom": 0.7977, "final_energy_ev_per_atom": -4.25, "lattice_angstrom": [[4.119, 0.000, 0.000], [0.000, 4.395, 0.000], [0.000, 0.000, 9.063]], "species": ["Sr", "Sr", "Ir", "Ir", "Au", "Au", "Au", "Au"], "frac_coords": [[0.000, 0.000, 0.000], [0.500, 0.500, 0.500], [0.000, 0.500, 0.245], [0.500, 0.000, 0.745], [0.000, 0.000, 0.515], [0.000, 0.500, 0.759], [0.500, 0.000, 0.259], [0.500, 0.500, 0.015]]}

{"formula": "Cs2CdSeBr", "functional": "PBE-GGA", "state": "relaxed", "spacegroup": "No. 123", "magnetic_moment_mub_per_fu": 0.0, "dos_ef_per_ev_atom": 0.2349, "raw_formation_energy_mev_per_atom": -986, "final_energy_ev_per_atom": -2.54, "lattice_angstrom": [[7.031, 0.000, 0.000], [0.000, 7.031, 0.000], [0.000, 0.000, 5.347]], "species": ["Cs", "Cs", "Cd", "Se", "Br"], "frac_coords": [[0.000, 0.500, 0.000], [0.500, 0.000, 0.000], [0.000, 0.000, 0.500], [0.000, 0.000, 0.000], [0.500, 0.500, 0.500]]}

{"formula": "ReSiAs2", "functional": "PBE-GGA", "state": "relaxed", "spacegroup": "No. 65", "magnetic_moment_mub_per_fu": 0.0, "dos_ef_per_ev_atom": 0.6044, "raw_formation_energy_mev_per_atom": 573, "final_energy_ev_per_atom": -6.22, "lattice_angstrom": [[2.995, 0.000, 0.000], [0.000, 4.915, 0.000], [0.000, 0.000, 9.314]], "species": ["Re", "Re", "Si", "Si", "As", "As", "As", "As"], "frac_coords": [[0.000, 0.000, 0.000], [0.500, 0.500, 0.000], [0.000, 0.000, 0.500], [0.500, 0.500, 0.500], [0.000, 0.500, 0.225], [0.000, 0.500, 0.775], [0.500, 0.000, 0.225], [0.500, 0.000, 0.775]]}

{"formula": "CrIr3Rh3", "functional": "PBE-GGA", "state": "relaxed", "e_above_lowest_polymorph_mev_per_atom": 270, "spacegroup": "No. 176", "magnetic_moment_mub_per_fu": 0.0, "delta_e_f_kj_per_mol_atoms": 56.4, "dos_ef_per_ev_atom": 0.8460, "final_energy_ev_per_atom": -7.74, "lattice_angstrom": [[11.319, 0.000, 0.000], [-5.659, 9.802, 0.000], [0.000, 0.000, 2.670]], "species": ["Cr", "Cr", "Ir", "Ir", "Ir", "Ir", "Ir", "Ir", "Rh", "Rh", "Rh", "Rh", "Rh", "Rh"], "frac_coords": [[0.333, 0.667, 0.250], [0.667, 0.333, 0.750], [0.168, 0.726, 0.250], [0.274, 0.443, 0.250], [0.443, 0.168, 0.750], [0.557, 0.832, 0.250], [0.726, 0.557, 0.750], [0.832, 0.274, 0.750], [0.050, 0.433, 0.250], [0.383, 0.950, 0.250], [0.433, 0.383, 0.750], [0.567, 0.617, 0.250], [0.617, 0.050, 0.750], [0.950, 0.567, 0.750]]}

{"formula": "MnGeSeN2", "functional": "PBE-GGA", "state": "relaxed", "e_above_lowest_polymorph_mev_per_atom": 0, "spacegroup": "No. 123", "magnetic_moment_mub_per_fu": 0.0, "dos_ef_per_ev_atom": 0.5694, "raw_formation_energy_mev_per_atom": 620, "final_energy_ev_per_atom": -6.16, "lattice_angstrom": [[3.690, 0.000, 0.000], [0.000, 3.690, 0.000], [0.000, 0.000, 5.173]], "species": ["Mn", "Ge", "Se", "N", "N"], "frac_coords": [[0.000, 0.000, 0.000], [0.500, 0.500, 0.500], [0.000, 0.000, 0.500], [0.000, 0.500, 0.000], [0.500, 0.000, 0.000]]}

{"formula": "LaTb3Pm6", "functional": "PBE-GGA", "state": "relaxed", "spacegroup": "No. 155", "magnetic_moment_mub_per_fu": 0.0, "delta_e_f_kj_per_mol_atoms": 23.1, "dos_ef_per_ev_atom": 2.0223, "final_energy_ev_per_atom": -4.49, "lattice_angstrom": [[5.001, 2.887, 3.982], [-5.001, 2.887, 3.982], [0.000, -5.775, 3.982]], "species": ["La", "Tb", "Tb", "Tb", "Pm", "Pm", "Pm", "Pm", "Pm", "Pm"], "frac_coords": [[0.000, 0.000, 0.000], [0.253, 0.253, 0.253], [0.500, 0.500, 0.500], [0.747, 0.747, 0.747], [0.000, 0.329, 0.671], [0.174, 0.826, 0.500], [0.329, 0.671, 0.000], [0.500, 0.174, 0.826], [0.671, 0.000, 0.329], [0.826, 0.500, 0.174]]}

{"formula": "La3Tb7Dy", "functional": "PBE-GGA", "state": "relaxed", "e_above_lowest_polymorph_mev_per_atom": 0, "spacegroup": "No. 2", "magnetic_moment_mub_per_fu": 0.0, "delta_e_f_kj_per_mol_atoms": 11.5, "dos_ef_per_ev_atom": 1.6383, "final_energy_ev_per_atom": -4.59, "lattice_angstrom": [[6.592, 0.000, 0.000], [-0.629, 6.733, 0.000], [-1.277, -1.600, 8.449]], "species": ["La", "La", "La", "Tb", "Tb", "Tb", "Tb", "Tb", "Tb", "Tb", "Dy"], "frac_coords": [[0.000, 0.000, 0.000], [0.194, 0.561, 0.167], [0.806, 0.439, 0.833], [0.012, 0.770, 0.578], [0.284, 0.274, 0.787], [0.436, 0.792, 0.853], [0.500, 0.500, 0.500], [0.564, 0.208, 0.147], [0.716, 0.726, 0.213], [0.988, 0.230, 0.422], [0.500, 0.000, 0.500]]}